A plane-wave DFT calculation with PBE-GGA was carried out for an optimized crystal structure of Ac2Ga3NiAu4.

Geometry as CIF:
```
data_Ac2Ga3NiAu4
_cell_length_a 4.5576
_cell_length_b 4.5576
_cell_length_c 10.5307
_cell_angle_alpha 90.00
_cell_angle_beta 90.00
_cell_angle_gamma 90.00
_space_group_name_H-M_alt 'P -4 m 2'
_space_group_IT_number 115
loop_
_space_group_symop_operation_xyz
'x,y,z'
'y,-x,-z'
'-x,-y,z'
'-y,x,-z'
'-x,y,z'
'-y,-x,-z'
'x,-y,z'
'y,x,-z'
loop_
_atom_site_label
_atom_site_type_symbol
_atom_site_fract_x
_atom_site_fract_y
_atom_site_fract_z
Ac1 Ac 0.0000 0.5000 0.2385
Ga1 Ga 0.0000 0.0000 0.0000
Ga2 Ga 0.0000 0.5000 0.6289
Ni1 Ni 0.5000 0.5000 0.0000
Au1 Au 0.0000 0.0000 0.5000
Au2 Au 0.0000 0.5000 0.8752
Au3 Au 0.5000 0.5000 0.5000
```



A plane-wave DFT calculation with PBE-GGA was carried out for an optimized crystal structure of Ac2NpGa3Au12.

Geometry as CIF:
```
data_Ac2NpGa3Au12
_cell_length_a 6.9120
_cell_length_b 6.9120
_cell_length_c 31.2609
_cell_angle_alpha 90.00
_cell_angle_beta 90.00
_cell_angle_gamma 120.00
_space_group_name_H-M_alt 'R -3 m'
_space_group_IT_number 166
_space_group_name_Hall '-R 3 2"'
loop_
_atom_site_label
_atom_site_type_symbol
_atom_site_fract_x
_atom_site_fract_y
_atom_site_fract_z
Ac1 Ac 0.0000 0.0000 0.1373
Np1 Np 0.0000 0.0000 0.5000
Ga1 Ga 0.0000 0.5000 0.0000
Au1 Au 0.0420 0.5210 0.8919
Au2 Au 0.0594 0.5297 0.6230
```



| no. | total energy (eV per atom) | energy relative to the elements (eV per formula unit) |
| --- | --- | --- |
| 1 | -4.204 | -5.9 |
| 2 | -4.118 | -4.6 |